The following is a GGA-PBE calculation of crystalline HfAs2S2 at its relaxed geometry, from the Alexandria database.

abc: 5.083 5.083 5.281
angles: 61.23 61.23 90.00
Sites, in units of the cell vectors:
S 0.750 0.250 0.500
Hf 0.000 0.000 0.000
As 0.654 0.654 0.691
S 0.250 0.750 0.500
As 0.346 0.346 0.309

Properties
**Formation energy without anion corrections**: 0.35 eV/atom
**E**: -5.148 eV/atom
**Magnetic moment**: 0.0 μB/cell
**Calculated volume**: 100.0 Å³ per cell

=====

The following is a GGA-PBE calculation of crystalline Sr5PmBi4 at its relaxed geometry, from the Alexandria database.

abc: 4.976 8.910 11.001
angles: 113.83 103.07 90.00
Sites, in units of the cell vectors:
Bi 0.000 0.243 0.000
Bi 0.000 0.757 0.000
Sr 0.833 0.587 0.665
Sr 0.167 0.922 0.335
Sr 0.833 0.078 0.665
Bi 0.692 0.193 0.385
Sr 0.500 0.500 0.000
Sr 0.167 0.413 0.335
Pm 0.500 0.000 0.000
Bi 0.308 0.807 0.615

Properties
**E**: -3.612 eV/atom
**DFT formation energy**: -0.744 eV per atom
**Magnetic moment**: 1.0 μB/cell
**Calculated volume**: 432.3 Å³ per cell

=====

The following is a GGA-PBE calculation of crystalline DyFeSi3Ru at its relaxed geometry, from the Alexandria database.

abc: 5.388 7.370 6.484
angles: 124.63 90.00 90.00
Sites, in units of the cell vectors:
Dy 0.750 0.242 0.484
Fe 0.750 0.958 0.916
Si 0.000 0.242 0.000
Ru 0.750 0.558 0.115
Si 0.250 0.237 0.473
Ru 0.250 0.442 0.885
Si 0.500 0.758 0.000
Si 0.750 0.763 0.527
Dy 0.250 0.758 0.516
Fe 0.250 0.042 0.084
Si 0.000 0.758 0.000
Si 0.500 0.242 0.000

Properties
**Formation energy without anion corrections**: -0.38 eV/atom
**E**: -6.816 eV/atom
**Magnetic moment**: 0.0 μB/cell
**Calculated volume**: 211.8 Å³ per cell

=====

The following is a GGA-PBE calculation of crystalline SrCrSe2 at its relaxed geometry, from the Alexandria database.

abc: 4.129 4.129 6.955
angles: 73.77 73.77 61.49
Sites, in units of the cell vectors:
Se 0.991 0.991 0.045
Sr 0.750 0.750 0.750
Cr 0.250 0.250 0.250
Se 0.509 0.509 0.455

Properties
**Formation energy without anion corrections**: -1.04 eV/atom
**E**: -5.611 eV/atom
**Magnetic moment**: 4.0 μB/cell
**Calculated volume**: 98.5 Å³ per cell

=====

The following is a GGA-PBE calculation of crystalline Sr2HoMg2Cd5 at its relaxed geometry, from the Alexandria database.

abc: 4.334 11.189 11.189
angles: 90.00 90.00 90.00
Sites, in units of the cell vectors:
Mg 0.000 0.884 0.384
Cd 0.500 0.554 0.704
Cd 0.500 0.054 0.796
Cd 0.500 0.446 0.296
Cd 0.500 0.296 0.554
Cd 0.500 0.946 0.204
Cd 0.500 0.500 0.000
Cd 0.500 0.796 0.946
Ho 0.000 0.500 0.500
Sr 0.000 0.680 0.180
Mg 0.000 0.384 0.116
Mg 0.000 0.616 0.884
Ho 0.000 0.000 0.000
Sr 0.000 0.820 0.680
Mg 0.000 0.116 0.616
Cd 0.500 0.204 0.054
Cd 0.500 0.704 0.446
Sr 0.000 0.320 0.820
Cd 0.500 0.000 0.500
Sr 0.000 0.180 0.320

Properties
**E**: -1.806 eV/atom
**DFT formation energy**: -0.235 eV per atom
**Magnetic moment**: 0.0 μB/cell
**Calculated volume**: 542.6 Å³ per cell

=====

The following is a GGA-PBE calculation of crystalline MgZnSe2 at its relaxed geometry, from the Alexandria database.

abc: 16.006 7.762 7.762
angles: 73.55 111.56 68.44
Sites, in units of the cell vectors:
Zn 0.656 0.794 0.392
Se 0.250 0.284 0.784
Se 0.017 0.220 0.811
Se 0.483 0.311 0.720
Mg 0.874 0.280 0.438
Se 0.726 0.282 0.128
Se 0.470 0.849 0.670
Mg 0.396 0.520 0.296
Se 0.983 0.780 0.189
Mg 0.374 0.062 0.220
Zn 0.844 0.892 0.294
Zn 0.875 0.801 0.838
Zn 0.625 0.338 0.301
Se 0.750 0.716 0.216
Mg 0.604 0.480 0.704
Se 0.970 0.830 0.651
Se 0.530 0.151 0.330
Se 0.750 0.186 0.686
Se 0.274 0.718 0.872
Se 0.774 0.628 0.782
Se 0.226 0.372 0.218
Se 0.030 0.170 0.349
Zn 0.375 0.662 0.699
Zn 0.344 0.206 0.608
Se 0.250 0.814 0.314
Se 0.517 0.689 0.280
Mg 0.126 0.720 0.562
Mg 0.626 0.938 0.780
Zn 0.125 0.199 0.162
Mg 0.896 0.204 0.980
Mg 0.104 0.796 0.020
Zn 0.156 0.108 0.706

Properties
**Formation energy without anion corrections**: -0.85 eV/atom
**E**: -3.314 eV/atom
**Magnetic moment**: 0.0 μB/cell
**Calculated volume**: 730.2 Å³ per cell